(1)
The following is a DFT calculation (GGA-PBE) of NpGa3Co after structural relaxation.

Computed properties:
E above lowest polymorph: 107 meV per atom
energy of formation from the pure elements: -0.10 eV/atom

Structure (CIF):
```
data_NpGa3Co
_cell_length_a 4.527
_cell_length_b 4.527
_cell_length_c 4.527
_cell_angle_alpha 90.00
_cell_angle_beta 90.00
_cell_angle_gamma 90.00
_symmetry_space_group_name_H-M 'P m -3 m'
_symmetry_Int_Tables_number 221
_symmetry_space_group_name_Hall '-P 4 2 3'
loop_
_atom_site_label
_atom_site_fract_x
_atom_site_fract_y
_atom_site_fract_z
Np1 0.000 0.000 0.000
Ga1 0.000 0.500 0.500
Co1 0.500 0.500 0.500
```


(2)
The following is a DFT calculation (GGA-PBE) of Np2Ga5Co3 after structural relaxation.

Computed properties:
energy of formation from the pure elements: -0.09 eV/atom

Structure (CIF):
```
data_Np2Ga5Co3
_cell_length_a 4.067
_cell_length_b 23.568
_cell_length_c 6.557
_cell_angle_alpha 90.00
_cell_angle_beta 90.00
_cell_angle_gamma 90.00
_symmetry_space_group_name_H-M 'C m c 21'
_symmetry_Int_Tables_number 36
loop_
_symmetry_equiv_pos_as_xyz
'x,y,z'
'-x,-y,z+1/2'
'-x,y,z'
'x,-y,z+1/2'
'x+1/2,y+1/2,z'
'-x+1/2,-y+1/2,z+1/2'
'-x+1/2,y+1/2,z'
'x+1/2,-y+1/2,z+1/2'
loop_
_atom_site_label
_atom_site_fract_x
_atom_site_fract_y
_atom_site_fract_z
Np1 0.000 0.025 0.000
Np2 0.000 0.324 0.909
Ga1 0.000 0.099 0.618
Ga2 0.000 0.204 0.097
Ga3 0.000 0.209 0.707
Ga4 0.000 0.371 0.459
Ga5 0.000 0.447 0.836
Co1 0.000 0.104 0.223
Co2 0.000 0.265 0.398
Co3 0.000 0.454 0.224
```


(3)
The following is a DFT calculation (GGA-PBE) of NpGa3Co after structural relaxation.

Computed properties:
E above lowest polymorph: 0 meV per atom
energy of formation from the pure elements: -0.20 eV/atom

Structure (CIF):
```
data_NpGa3Co
_cell_length_a 7.943
_cell_length_b 3.599
_cell_length_c 11.218
_cell_angle_alpha 90.00
_cell_angle_beta 90.00
_cell_angle_gamma 90.00
_symmetry_space_group_name_H-M 'P n m a'
_symmetry_Int_Tables_number 62
loop_
_symmetry_equiv_pos_as_xyz
'x,y,z'
'-x,-y,-z'
'-x+1/2,-y,z+1/2'
'x+1/2,y,-z+1/2'
'x+1/2,-y+1/2,-z+1/2'
'-x+1/2,y+1/2,z+1/2'
'-x,y+1/2,-z'
'x,-y+1/2,z'
loop_
_atom_site_label
_atom_site_fract_x
_atom_site_fract_y
_atom_site_fract_z
Np1 0.104 0.250 0.000
Ga1 0.070 0.250 0.426
Ga2 0.104 0.750 0.228
Ga3 0.149 0.750 0.782
Co1 0.130 0.250 0.637
```


(4)
The following is a DFT calculation (GGA-PBE) of NpGa3Co2 after structural relaxation.

Computed properties:
energy of formation from the pure elements: -0.16 eV/atom

Structure (CIF):
```
data_NpGa3Co2
_cell_length_a 16.483
_cell_length_b 4.086
_cell_length_c 9.288
_cell_angle_alpha 90.00
_cell_angle_beta 115.69
_cell_angle_gamma 90.00
_symmetry_space_group_name_H-M 'C 1 2/m 1'
_symmetry_Int_Tables_number 12
loop_
_symmetry_equiv_pos_as_xyz
'x,y,z'
'-x,-y,-z'
'-x,y,-z'
'x,-y,z'
'x+1/2,y+1/2,z'
'-x+1/2,-y+1/2,-z'
'-x+1/2,y+1/2,-z'
'x+1/2,-y+1/2,z'
loop_
_atom_site_label
_atom_site_fract_x
_atom_site_fract_y
_atom_site_fract_z
Np1 0.000 0.000 0.000
Np2 0.167 0.000 0.682
Ga1 0.000 0.500 0.500
Ga2 0.027 0.000 0.337
Ga3 0.128 0.500 0.179
Ga4 0.191 0.500 0.941
Ga5 0.208 0.000 0.375
Co1 0.031 0.500 0.832
Co2 0.131 0.500 0.446
Co3 0.154 0.000 0.053
```


(5)
The following is a DFT calculation (GGA-PBE) of NpGa7Co5 after structural relaxation.

Computed properties:
energy of formation from the pure elements: -0.22 eV/atom

Structure (CIF):
```
data_NpGa7Co5
_cell_length_a 5.083
_cell_length_b 8.575
_cell_length_c 8.416
_cell_angle_alpha 90.00
_cell_angle_beta 90.00
_cell_angle_gamma 90.00
_symmetry_space_group_name_H-M 'I m m 2'
_symmetry_Int_Tables_number 44
loop_
_symmetry_equiv_pos_as_xyz
'x,y,z'
'-x,-y,z'
'-x,y,z'
'x,-y,z'
'x+1/2,y+1/2,z+1/2'
'-x+1/2,-y+1/2,z+1/2'
'-x+1/2,y+1/2,z+1/2'
'x+1/2,-y+1/2,z+1/2'
loop_
_atom_site_label
_atom_site_fract_x
_atom_site_fract_y
_atom_site_fract_z
Np1 0.000 0.000 0.000
Ga1 0.000 0.000 0.335
Ga2 0.000 0.000 0.650
Ga3 0.000 0.297 0.498
Ga4 0.000 0.342 0.967
Ga5 0.000 0.500 0.256
Co1 0.000 0.500 0.713
Co2 0.241 0.254 0.236
```


(6)
The following is a DFT calculation (GGA-PBE) of NpGaCo2 after structural relaxation.

Computed properties:
energy of formation from the pure elements: -0.05 eV/atom

Structure (CIF):
```
data_NpGaCo2
_cell_length_a 2.906
_cell_length_b 2.906
_cell_length_c 6.503
_cell_angle_alpha 90.00
_cell_angle_beta 90.00
_cell_angle_gamma 90.00
_symmetry_space_group_name_H-M 'P 4/m m m'
_symmetry_Int_Tables_number 123
_symmetry_space_group_name_Hall '-P 4 2'
loop_
_atom_site_label
_atom_site_fract_x
_atom_site_fract_y
_atom_site_fract_z
Np1 0.000 0.000 0.000
Ga1 0.000 0.000 0.500
Co1 0.500 0.500 0.273
```


Number 1: ρ 9.0 Mg/m³. Number 2: ρ 10.6 Mg/m³. Number 3: ρ 10.5 Mg/m³. Number 4: ρ 10.0 Mg/m³. Number 5: ρ 9.2 Mg/m³. Number 6: ρ 12.8 Mg/m³.